An optimized crystal structure of Pr8Ni18P11. Source: Alexandria via LeMat-Bulk, functional PBE.

a b c (Å): 18.3195 18.3195 3.9562
angles (deg): 90.00 90.00 120.00
Site moments in Bohr magnetons follow the coordinates.
Element x y z (fractional)
Pr 0.4770 0.5230 0.5000  0.00
Pr 0.4770 0.9540 0.5000  0.00
Pr 0.0460 0.5230 0.5000  0.00
Pr 0.2601 0.7399 0.5000  0.00
Pr 0.2601 0.5201 0.5000  0.00
Pr 0.4799 0.7399 0.5000  0.00
Pr 0.7790 0.2210 0.0000  -0.01
Pr 0.7790 0.5580 0.0000  -0.01
Pr 0.4420 0.2210 0.0000  -0.01
Pr 0.0014 0.2190 0.0000  0.00
Pr 0.7810 0.7824 0.0000  0.00
Pr 0.7810 0.9986 0.0000  0.00
Pr 0.2176 0.9986 0.0000  0.00
Pr 0.2176 0.2190 0.0000  0.00
Pr 0.0014 0.7824 0.0000  0.00
Pr 0.0000 0.0000 0.0000  0.00
Ni 0.7098 0.2902 0.5000  0.20
Ni 0.7098 0.4195 0.5000  0.20
Ni 0.5805 0.2902 0.5000  0.20
Ni 0.0767 0.3712 0.5000  0.00
Ni 0.6288 0.7055 0.5000  0.00
Ni 0.6288 0.9233 0.5000  0.00
Ni 0.2945 0.9233 0.5000  0.00
Ni 0.2945 0.3712 0.5000  0.00
Ni 0.0767 0.7055 0.5000  0.00
Ni 0.4009 0.0311 0.0000  -0.01
Ni 0.9689 0.3698 0.0000  -0.01
Ni 0.9689 0.5991 0.0000  -0.01
Ni 0.6302 0.5991 0.0000  -0.01
Ni 0.6302 0.0311 0.0000  -0.01
Ni 0.4009 0.3698 0.0000  -0.01
Ni 0.1841 0.8159 0.0000  0.00
Ni 0.1841 0.3681 0.0000  0.00
Ni 0.6319 0.8159 0.0000  0.00
Ni 0.4060 0.5940 0.0000  0.00
Ni 0.4060 0.8120 0.0000  0.00
Ni 0.1880 0.5940 0.0000  0.00
Ni 0.0734 0.9266 0.5000  0.00
Ni 0.0734 0.1468 0.5000  0.00
Ni 0.8532 0.9266 0.5000  0.00
Ni 0.4989 0.1295 0.5000  0.00
Ni 0.8705 0.3694 0.5000  0.00
Ni 0.8705 0.5011 0.5000  0.00
Ni 0.6306 0.5011 0.5000  0.00
Ni 0.6306 0.1295 0.5000  0.00
Ni 0.4989 0.3694 0.5000  0.00
Ni 0.6164 0.3836 0.0000  0.11
Ni 0.6164 0.2328 0.0000  0.11
Ni 0.7672 0.3836 0.0000  0.11
Ni 0.8543 0.1457 0.5000  0.00
Ni 0.8543 0.7086 0.5000  0.00
Ni 0.2914 0.1457 0.5000  0.00
P 0.3333 0.6667 0.0000  0.00
P 0.1460 0.8540 0.5000  0.00
P 0.1460 0.2920 0.5000  0.00
P 0.7080 0.8540 0.5000  0.00
P 0.1171 0.4491 0.0000  0.00
P 0.5509 0.6680 0.0000  0.00
P 0.5509 0.8829 0.0000  0.00
P 0.3320 0.8829 0.0000  0.00
P 0.3320 0.4491 0.0000  0.00
P 0.1171 0.6680 0.0000  0.00
P 0.5484 0.4516 0.0000  0.00
P 0.5484 0.0968 0.0000  0.00
P 0.9032 0.4516 0.0000  0.00
P 0.3595 0.0708 0.5000  0.00
P 0.9292 0.2887 0.5000  0.00
P 0.9292 0.6405 0.5000  0.00
P 0.7113 0.6405 0.5000  0.00
P 0.7113 0.0708 0.5000  0.00
P 0.3595 0.2887 0.5000  0.00
P 0.9276 0.0724 0.5000  0.00
P 0.9276 0.8551 0.5000  0.00
P 0.1449 0.0724 0.5000  0.00

Output
- Uncorrected energy: -6.36 eV per atom
- Total magnetization: 0.84 μB per cell
- Symmetry: P-6m2
- E_form: -0.91 eV per atom